Below is Rb2Ag7Sn12 after structural relaxation, with properties calculated at the PBE level.

Cell: 11.7377 11.7377 4.6813 Å, 90.00 90.00 120.00°
Space group P-3 (No. 147)
Inequivalent atoms, fractional coordinates:
Rb 0.3333 0.6667 0.2487 x2
Ag 0.0000 0.0000 0.5000 x1
Ag 0.1024 0.6953 0.7480 x6
Sn 0.0693 0.4336 0.7479 x6
Sn 0.1271 0.2627 0.2484 x6

Values from the calculation:
As for the formation energy: -4 kJ/mol of atoms.


Below is Rb2AgSn after structural relaxation, with properties calculated at the PBE level.

Cell: 3.9737 3.9737 37.2708 Å, 90.00 90.00 120.00°
Space group R-3m (No. 166, hexagonal axes)
Inequivalent atoms, fractional coordinates:
Rb 0.0000 0.0000 0.0976 x6
Ag 0.0000 0.0000 0.5000 x3
Sn 0.0000 0.0000 0.0000 x3

Values from the calculation:
As for the formation energy: 35 kJ/mol of atoms.